{"formula": "Fe4O7F", "functional": "PBE with a Hubbard U", "state": "optimized geometry", "dft_energy_ev_per_atom": -6.13, "n_ef_per_ev_fu": 4.8, "space_group": "P2_1/m, No. 11", "lattice": [[4.626, 0.000, 0.000], [0.000, 6.018, 0.000], [-0.303, 0.000, 9.227]], "species": ["Fe", "Fe", "Fe", "Fe", "Fe", "Fe", "Fe", "Fe", "O", "O", "O", "O", "O", "O", "O", "O", "O", "O", "O", "O", "O", "O", "F", "F"], "frac_coords": [[0.004, 0.250, 0.499], [0.025, 0.250, 0.987], [0.482, 0.505, 0.257], [0.482, 0.995, 0.257], [0.518, 0.005, 0.743], [0.518, 0.495, 0.743], [0.975, 0.750, 0.013], [0.996, 0.750, 0.501], [0.188, 0.002, 0.097], [0.188, 0.498, 0.097], [0.197, 0.502, 0.596], [0.197, 0.998, 0.596], [0.287, 0.750, 0.353], [0.305, 0.250, 0.347], [0.326, 0.250, 0.838], [0.674, 0.750, 0.162], [0.695, 0.750, 0.653], [0.713, 0.250, 0.647], [0.803, 0.002, 0.404], [0.803, 0.498, 0.404], [0.812, 0.502, 0.903], [0.812, 0.998, 0.903], [0.311, 0.750, 0.850], [0.689, 0.250, 0.150]]}